# 1
This record from the Alexandria database describes TbCeO4 after structural relaxation. The functional is GGA-PBEsol.

formation energy (no corrections)	-3.106	eV per atom
Fermi-level density of states	1.062	states/eV/atom
space group	No. 227
VASP energy	-204.97	eV/cell

Geometry as extended XYZ:
```
24
Lattice="-5.9541 0.6229 -4.7199 1.0167 -0.6607 -7.5263 -2.6112 -6.1482 -3.6739" Properties=species:S:1:pos:R:3 pbc="T T T"
Tb -4.7183 -3.8666 -9.9511
Tb -5.2270 -3.5361 -6.1860
Tb -3.4120 -0.7909 -8.1132
Tb -1.7398 -4.1782 -7.5899
Ce -0.4353 -1.1036 -5.7530
Ce -0.9436 -0.7733 -1.9902
Ce -3.9204 -0.4619 -4.3499
Ce -2.2492 -3.8471 -3.8270
O -4.2542 -2.7482 -4.1943
O -4.8766 -1.2138 -6.3214
O -4.3625 -1.5479 -10.1276
O 0.0000 0.0000 0.0000
O -3.7743 -3.0930 -7.9600
O -2.6719 -4.9721 -9.5987
O -3.1861 -4.6380 -5.7924
O -0.8102 -3.3823 -5.5809
O -2.4618 -0.0370 -6.0976
O -5.6614 -4.6394 -11.9401
O -6.1972 -4.3230 -8.1794
O -2.9641 0.2894 -2.3792
O -1.8871 -1.5465 -3.9800
O -1.3514 -1.8629 -7.7407
O -1.3125 -3.0559 -1.8624
O 0.4799 -0.3448 -3.7657
```


# 2
This record from the Alexandria database describes TbCe3O8 after structural relaxation. The functional is GGA-PBEsol.

formation energy (no corrections)	-3.297	eV per atom
Fermi-level density of states	1.178	states/eV/atom
space group	No. 139
VASP energy	-106.35	eV/cell

Geometry as extended XYZ:
```
12
Lattice="-0.9481 4.3319 -3.0638 -3.1283 2.0575 3.8771 6.3219 -0.7355 1.7447" Properties=species:S:1:pos:R:3 pbc="T T T"
Tb 0.0000 0.0000 0.0000
Ce 1.6678 3.3955 -0.4562
Ce -2.0382 3.1947 0.4066
Ce 0.5777 2.2583 3.0142
O 0.0515 2.2254 0.7454
O 2.6651 1.2759 3.3350
O -1.9741 5.4004 1.1495
O 3.7485 2.4060 -0.1140
O 2.1940 3.4284 1.8126
O -1.5030 3.2478 2.6720
O 4.2196 0.2535 1.4085
O -0.4196 4.3780 -0.7771
```


# 3
This record from the Alexandria database describes TbCeO4 after structural relaxation. The functional is GGA-PBEsol.

formation energy (no corrections)	-3.112	eV per atom
Fermi-level density of states	1.065	states/eV/atom
space group	No. 123
VASP energy	-51.28	eV/cell

Geometry as extended XYZ:
```
6
Lattice="3.7970 0.0000 0.0000 0.0000 3.7970 0.0000 0.0000 0.0000 5.4251" Properties=species:S:1:pos:R:3 pbc="T T T"
Tb 0.0000 0.0000 2.7126
O 0.0000 1.8985 1.3397
O 1.8985 0.0000 1.3397
O 1.8985 0.0000 4.0854
O 0.0000 1.8985 4.0854
Ce 1.8985 1.8985 0.0000
```


# 4
This record from the Alexandria database describes TbCeO4 after structural relaxation. The functional is GGA-PBEsol.

formation energy (no corrections)	-3.111	eV per atom
Fermi-level density of states	0.738	states/eV/atom
space group	No. 141
VASP energy	-102.54	eV/cell

Geometry as extended XYZ:
```
12
Lattice="-3.5548 3.2066 -2.6608 2.3534 -1.3413 -4.7604 -2.6782 -4.9690 3.2269" Properties=species:S:1:pos:R:3 pbc="T T T"
Tb 0.0000 0.0000 0.0000
Tb -0.4628 -2.6888 -2.6221
O -2.7676 -2.5563 -2.2019
O -2.1508 -3.4981 1.4763
O 0.0445 -1.2025 -4.3655
O -2.8853 1.0496 -3.2976
O -1.1322 -0.5318 -1.9853
O -1.7087 0.3790 -5.6778
O -0.9902 -4.1596 -0.8715
O -3.9282 -1.8948 0.1459
Ce -3.4168 -0.4148 -1.5723
Ce -0.6007 0.9327 -3.7106
```


# 5
This record from the Alexandria database describes TbCeO4 after structural relaxation. The functional is GGA-PBEsol.

formation energy (no corrections)	-3.118	eV per atom
Fermi-level density of states	0.056	states/eV/atom
space group	No. 11
VASP energy	-102.62	eV/cell

Geometry as extended XYZ:
```
12
Lattice="3.7664 0.0000 -0.0031 0.0000 5.5295 0.0000 -0.6045 0.0000 7.5139" Properties=species:S:1:pos:R:3 pbc="T T T"
Tb 2.3935 1.3824 6.5576
Tb 0.7684 4.1471 0.9532
Ce 0.6337 4.1471 4.6960
Ce 2.5282 1.3824 2.8148
O 0.5103 5.5207 6.6187
O 0.5103 2.7736 6.6187
O 2.5106 2.7825 4.7008
O 2.5106 5.5118 4.7008
O 0.6513 2.7470 2.8100
O 0.6513 0.0177 2.8100
O 2.6515 0.0088 0.8921
O 2.6515 2.7559 0.8921
```


# 6
This record from the Alexandria database describes CeTe2O6 after structural relaxation. The functional is GGA-PBEsol.

formation energy (no corrections)	-1.832	eV per atom
space group	No. 14
VASP energy	-246.52	eV/cell

Geometry as extended XYZ:
```
36
Lattice="-4.1420 -5.4910 -1.1314 5.1298 -2.0345 4.5542 -6.3948 3.0580 8.5692" Properties=species:S:1:pos:R:3 pbc="T T T"
Ce -1.0561 -1.0798 5.5052
Ce -6.8828 1.3497 7.5064
Ce -4.3508 -3.3876 6.4867
Ce 1.4759 -5.8172 4.4856
Te 1.0912 -2.2666 2.7650
Te 0.3234 -1.5177 9.1411
Te -6.4981 -2.2008 9.2270
Te -5.7303 -2.9497 2.8509
Te -2.2421 -0.8015 1.9104
Te -3.3835 -0.0349 8.0014
Te -3.1648 -3.6660 10.0816
Te -2.0234 -4.4326 3.9906
O 1.0554 -1.5616 4.5304
O -1.4519 -1.3567 9.8025
O -6.4623 -2.9059 7.4616
O -3.9550 -3.1107 2.1895
O -1.8985 0.6494 4.1920
O -5.9805 -0.4081 8.7395
O -3.5084 -5.1168 7.8000
O 0.5736 -4.0594 3.2525
O -0.1939 -1.9789 7.3382
O -3.3849 0.5824 11.2591
O -5.2130 -2.4885 4.6538
O -2.0220 -5.0498 0.7328
O -0.9105 -5.6425 4.9676
O -4.0250 -2.5770 8.7658
O -4.4964 1.1750 7.0243
O -1.3819 -1.8905 3.2262
O -1.9915 -3.1778 5.4425
O -4.8591 -4.1258 10.8572
O -3.4154 -1.2896 6.5494
O -0.5478 -0.3417 1.1348
O -3.6897 -4.9258 4.8010
O -3.1626 -2.3770 11.5011
O -1.7172 0.4584 7.1909
O -2.2443 -2.0905 0.4909
```


# 7
This record from the Alexandria database describes CeTiO3 after structural relaxation. The functional is GGA-PBEsol.

formation energy (no corrections)	-3.110	eV per atom
Fermi-level density of states	1.679	states/eV/atom
space group	No. 221
VASP energy	-46.22	eV/cell

Geometry as extended XYZ:
```
5
Lattice="3.8869 0.0000 0.0000 0.0000 3.8869 0.0000 0.0000 0.0000 3.8869" Properties=species:S:1:pos:R:3 pbc="T T T"
O 1.9434 0.0000 0.0000
O 0.0000 1.9434 0.0000
O 0.0000 0.0000 1.9434
Ce 1.9434 1.9434 1.9434
Ti 0.0000 0.0000 0.0000
```


# 8
This record from the Alexandria database describes CeTi2O6 after structural relaxation. The functional is GGA-PBEsol.

formation energy (no corrections)	-3.189	eV per atom
Fermi-level density of states	0.000	states/eV/atom
space group	No. 12
VASP energy	-83.44	eV/cell

Geometry as extended XYZ:
```
9
Lattice="3.7498 0.0000 0.0000 1.8749 4.9360 -0.0250 1.8749 1.5222 5.9670" Properties=species:S:1:pos:R:3 pbc="T T T"
O 3.7498 5.1086 3.5602
O 3.7498 1.3496 2.3819
O 5.6248 5.3108 5.3644
O 1.8749 3.6451 1.8159
O 5.6248 2.8131 4.1262
O 1.8749 1.1474 0.5776
Ce 0.0000 0.0000 0.0000
Ti 5.6248 4.6020 3.6297
Ti 1.8749 1.8562 2.3124
```


Number 1: total magnetization 1.05 μB/f.u.. Number 2: total magnetization 0.71 μB/f.u.. Number 3: total magnetization 0.99 μB/f.u.. Number 4: total magnetization 1.04 μB/f.u.. Number 5: total magnetization 1.03 μB/f.u.. Number 6: total magnetization 0.00 μB/f.u.. Number 7: total magnetization 1.26 μB/f.u.. Number 8: total magnetization 0.00 μB/f.u..